CaTeIr | the Alexandria database | GGA-PBE | optimized geometry; E above lowest polymorph = 0.37 eV per formula unit
1.0
-3.208 -1.898 -2.791
0.688 -4.243 -1.791
-2.550 -3.599 1.493
Ca Ir Te
1 1 1
Direct
0.500 0.500 0.500
0.750 0.750 0.750
0.000 0.000 0.000

***

Ca2TeIr: optimized geometry, GGA-PBE.

```
Ca2TeIr
1.0
-3.504 -4.005 -4.071
2.338 -5.146 -3.598
-0.727 2.952 5.971
Ca Ir Te
2 1 1
Direct
0.999 0.999 0.000
0.704 0.204 0.500
0.484 0.484 0.000
0.313 0.813 0.500
```

***

Ca2TeIr: optimized geometry, GGA-PBE.

```
Ca2TeIr
1.0
3.717 0.020 0.000
-0.019 3.717 0.000
0.000 0.000 8.199
Ca Ir Te
2 1 1
Direct
0.000 0.000 0.937
0.500 0.500 0.311
0.000 0.000 0.576
0.500 0.500 0.676
```

***

Number 1: V 71 Å³ per cell, raw formation energy -1.42 eV/f.u.. Number 2: V 103 Å³ per cell, raw formation energy -2.16 eV/f.u.. Number 3: V 113 Å³ per cell, raw formation energy -0.69 eV/f.u..